KNbFeS3 (PBE, optimized geometry); space group = P2_1/m (11); energy relative to the lowest polymorph listed for this composition = 0.000 eV/f.u.
1.0
8.1398 0.0000 0.0000
0.0000 3.4975 0.0000
-4.0353 0.0000 8.6986
K Nb Fe S
2 2 2 6
Direct
0.0128 0.2500 0.2750
0.9872 0.7500 0.7250
0.4734 0.2500 0.1757
0.5266 0.7500 0.8243
0.4785 0.7500 0.3944
0.5215 0.2500 0.6056
0.2484 0.7500 0.1550
0.3155 0.7500 0.5480
0.3305 0.2500 0.8758
0.6695 0.7500 0.1242
0.6845 0.2500 0.4520
0.7516 0.2500 0.8450

***

Dy4Bi2C (PBE, optimized geometry); total DFT energy (no corrections) = -5.75 eV/atom; space group = I4/mmm (139)
1.0
-2.4273 2.4273 7.9922
2.4273 -2.4273 7.9922
2.4273 2.4273 -7.9922
Dy Bi C
4 2 1
Direct
0.0000 0.5000 0.5000
0.1526 0.1526 0.0000
0.5000 0.0000 0.5000
0.8474 0.8474 0.0000
0.3554 0.3554 0.0000
0.6446 0.6446 0.0000
0.0000 0.0000 0.0000